Record 1
Pm3Rh4Pb2: relaxed, GGA-PBE.

Cell: 5.6943 8.7157 8.7157 Å, 75.50 89.55 89.55°
Last column: nearest neighbours and their distance in Å.
Positions (direct):
Pb (0.3995, 0.1815, 0.4156)  5 Rh 2.80-3.13
Pb (0.8995, 0.4156, 0.1815)  5 Rh 2.80-3.13
Pb (0.1005, 0.5844, 0.8185)  5 Rh 2.80-3.13
Pb (0.6005, 0.8185, 0.5844)  5 Rh 2.80-3.13
Pm (0.2500, 0.6096, 0.3904)  4 Rh 2.72-2.85
Pm (0.1179, 0.9987, 0.7747)  6 Rh 2.86-3.12
Pm (0.3821, 0.2253, 0.0013)  6 Rh 2.86-3.12
Pm (0.6179, 0.7747, 0.9987)  6 Rh 2.86-3.12
Pm (0.8821, 0.0013, 0.2253)  6 Rh 2.86-3.12
Pm (0.7500, 0.3904, 0.6096)  4 Rh 2.72-2.85
Rh (0.5857, 0.5289, 0.8360)  3 Pm 2.72-2.92, 3 Pb 2.80-2.97, 2 Rh 2.90-2.94
Rh (0.1221, 0.7534, 0.0712)  2 Rh 2.83-2.90, 5 Pm 2.85-3.12, 2 Pb 2.94-3.13
Rh (0.9143, 0.1640, 0.4711)  3 Pm 2.72-2.92, 3 Pb 2.80-2.97, 2 Rh 2.90-2.94
Rh (0.8779, 0.2466, 0.9288)  2 Rh 2.83-2.90, 5 Pm 2.85-3.12, 2 Pb 2.94-3.13
Rh (0.0857, 0.8360, 0.5289)  3 Pm 2.72-2.92, 3 Pb 2.80-2.97, 2 Rh 2.90-2.94
Rh (0.3779, 0.9288, 0.2466)  2 Rh 2.83-2.90, 5 Pm 2.85-3.12, 2 Pb 2.94-3.13
Rh (0.4143, 0.4711, 0.1640)  3 Pm 2.72-2.92, 3 Pb 2.80-2.97, 2 Rh 2.90-2.94
Rh (0.6221, 0.0712, 0.7534)  2 Rh 2.83-2.90, 5 Pm 2.85-3.12, 2 Pb 2.94-3.13

## Properties
space-group type = C2/c (15)
formation enthalpy at 0 K = -40.9 kJ per mole of atoms

---

Record 2
TbPr2HfP4: relaxed, GGA-PBE.

Cell: 4.0108 6.9556 6.9829 Å, 109.17 90.00 90.00°
Last column: nearest neighbours and their distance in Å.
Positions (direct):
P (0.0000, 0.2450, 0.7695)  1 Hf 2.70, 2 Tb 2.81, 3 Pr 2.89-2.98
P (0.5000, 0.7689, 0.7759)  2 Hf 2.72, 1 Tb 2.81, 3 Pr 2.89-2.98
P (0.0000, 0.7550, 0.2305)  1 Hf 2.70, 2 Tb 2.81, 3 Pr 2.89-2.98
P (0.5000, 0.2311, 0.2241)  2 Hf 2.72, 1 Tb 2.81, 3 Pr 2.89-2.98
Pr (0.0000, 0.5000, 0.5000)  6 P 2.98
Pr (0.5000, 0.0000, 0.5000)  6 P 2.89
Hf (0.0000, 0.0000, 0.0000)  6 P 2.70-2.72
Tb (0.5000, 0.5000, 0.0000)  6 P 2.81

## Properties
space-group type = P2/m (10)
formation enthalpy at 0 K = -141.7 kJ per mole of atoms

---

Record 3
CaPmSi2: relaxed, GGA-PBE.

Cell: 3.8885 5.8405 8.2684 Å, 90.00 90.00 90.00°
Last column: nearest neighbours and their distance in Å.
Positions (direct):
Si (0.0000, 0.6239, 0.5353)  2 Si 2.47
Si (0.5000, 0.1349, 0.9656)  2 Si 2.47
Si (0.5000, 0.8651, 0.4656)  2 Si 2.47
Si (0.0000, 0.3761, 0.0353)  2 Si 2.47
Pm (0.5000, 0.6413, 0.8199)  7 Si 3.05-3.21
Pm (0.5000, 0.3587, 0.3199)  7 Si 3.05-3.21
Ca (0.0000, 0.8613, 0.1791)  7 Si 3.06-3.26
Ca (0.0000, 0.1387, 0.6791)  7 Si 3.06-3.26

## Properties
electronic total energy = -5.042 eV per atom
space-group type = Pmc2_1 (26)

---

Record 4
H6PbCBr3N: relaxed, GGA-PBE.

Cell: 8.0158 8.8490 12.1452 Å, 90.00 90.00 90.00°
Last column: nearest neighbours and their distance in Å.
Positions (direct):
H (0.4790, 0.6273, 0.8240)  1 C 1.09
H (0.6623, 0.5693, 0.7500)  1 C 1.09
H (0.0210, 0.1273, 0.3240)  1 C 1.09
H (0.5078, 0.3547, 0.6808)  1 N 1.04
H (0.1623, 0.9307, 0.7500)  1 C 1.09
H (0.9922, 0.8547, 0.1808)  1 N 1.04
H (0.5078, 0.3547, 0.8192)  1 N 1.04
H (0.8377, 0.0693, 0.2500)  1 C 1.09
H (0.3377, 0.4307, 0.2500)  1 C 1.09
H (0.3347, 0.4093, 0.7500)  1 N 1.04
H (0.4790, 0.6273, 0.6760)  1 C 1.09
H (0.5210, 0.3727, 0.3240)  1 C 1.09
H (0.6653, 0.5907, 0.2500)  1 N 1.04
H (0.1653, 0.9093, 0.2500)  1 N 1.04
H (0.9922, 0.8547, 0.3192)  1 N 1.04
H (0.4922, 0.6453, 0.3192)  1 N 1.04
H (0.8347, 0.0907, 0.7500)  1 N 1.04
H (0.0210, 0.1273, 0.1760)  1 C 1.09
H (0.0078, 0.1453, 0.6808)  1 N 1.04
H (0.4922, 0.6453, 0.1808)  1 N 1.04
H (0.9790, 0.8727, 0.8240)  1 C 1.09
H (0.0078, 0.1453, 0.8192)  1 N 1.04
H (0.5210, 0.3727, 0.1760)  1 C 1.09
H (0.9790, 0.8727, 0.6760)  1 C 1.09
N (0.4643, 0.4116, 0.7500)  3 H 1.04
N (0.9643, 0.0884, 0.7500)  3 H 1.04
N (0.5357, 0.5884, 0.2500)  3 H 1.04
N (0.0357, 0.9116, 0.2500)  3 H 1.04
Br (0.6970, 0.2941, 0.5276)  1 H 2.46
Br (0.1970, 0.2059, 0.9724)  1 H 2.46
Br (0.8030, 0.7941, 0.4724)  1 H 2.46
Br (0.3030, 0.7059, 0.0276)  1 H 2.46
Br (0.4583, 0.0106, 0.2500)  1 H 2.51
Br (0.6970, 0.2941, 0.9724)  1 H 2.46
Br (0.9583, 0.4894, 0.2500)  1 H 2.51
Br (0.1970, 0.2059, 0.5276)  1 H 2.46
Br (0.0417, 0.5106, 0.7500)  1 H 2.51
Br (0.5417, 0.9894, 0.7500)  1 H 2.51
Br (0.8030, 0.7941, 0.0276)  1 H 2.46
Br (0.3030, 0.7059, 0.4724)  1 H 2.46
Pb (0.0000, 0.5000, 0.5000)  6 Br 3.05-3.06
Pb (0.0000, 0.5000, 0.0000)  6 Br 3.05-3.06
Pb (0.5000, 0.0000, 0.5000)  6 Br 3.05-3.06
Pb (0.5000, 0.0000, 0.0000)  6 Br 3.05-3.06
C (0.5257, 0.5708, 0.7500)  3 H 1.09
C (0.0257, 0.9292, 0.7500)  3 H 1.09
C (0.4743, 0.4292, 0.2500)  3 H 1.09
C (0.9743, 0.0708, 0.2500)  3 H 1.09

## Properties
space-group type = Pnma (62)
distance to the lowest polymorph of the same formula = 0.0 meV per atom

---

Record 5
LiTl2SnI5: relaxed, GGA-PBE.

Cell: 4.6587 10.4616 15.3102 Å, 90.00 90.00 102.87°
Last column: nearest neighbours and their distance in Å.
Positions (direct):
Sn (0.2086, 0.4172, 0.0300)  6 I 3.14-3.27
Sn (0.7914, 0.5828, 0.5300)  6 I 3.14-3.27
I (0.7195, 0.4389, 0.1751)  2 Sn 3.23
I (0.6929, 0.3859, 0.8861)  1 Li 2.86
I (0.6390, 0.2780, 0.5002)  1 Sn 3.14
I (0.4963, 0.9925, 0.7775)  1 Li 2.73
I (0.3610, 0.7220, 0.0002)  1 Sn 3.14
I (0.0483, 0.0965, 0.0341)  2 Li 2.78
I (0.2805, 0.5611, 0.6751)  2 Sn 3.23
I (0.5037, 0.0075, 0.2775)  1 Li 2.73
I (0.3071, 0.6141, 0.3861)  1 Li 2.86
I (0.9517, 0.9035, 0.5341)  2 Li 2.78
Li (0.4421, 0.8841, 0.4354)  4 I 2.73-2.86
Li (0.5579, 0.1159, 0.9354)  4 I 2.73-2.86
Tl (0.0935, 0.1870, 0.6659)  6 I 3.50-3.82
Tl (0.8724, 0.7448, 0.8198)  7 I 3.50-3.80
Tl (0.1276, 0.2552, 0.3198)  7 I 3.50-3.80
Tl (0.9065, 0.8130, 0.1659)  6 I 3.50-3.82

## Properties
electronic total energy = -2.774 eV per atom
space-group type = Cmc2_1 (36)

---

Record 6
Er5Si2Sn: relaxed, GGA-PBE.

Cell: 7.7316 7.7316 8.6410 Å, 116.58 116.58 90.00°
Last column: nearest neighbours and their distance in Å.
Positions (direct):
Er (0.2994, 0.7994, 0.2810)  3 Si 2.88-2.99
Er (0.7994, 0.9816, 0.2810)  3 Si 2.88-2.99
Er (0.2006, 0.0184, 0.7190)  3 Si 2.88-2.99
Er (0.9816, 0.4816, 0.2810)  3 Si 2.88-2.99
Er (0.5184, 0.7006, 0.7190)  3 Si 2.88-2.99
Er (0.0184, 0.5184, 0.7190)  3 Si 2.88-2.99
Er (0.4816, 0.2994, 0.2810)  3 Si 2.88-2.99
Er (0.0000, 0.0000, 0.0000)  4 Si 2.98
Er (0.5000, 0.5000, 0.0000)  4 Si 2.98
Er (0.7006, 0.2006, 0.7190)  3 Si 2.88-2.99
Sn (0.7500, 0.7500, 0.5000)  10 Er 3.26-3.35
Sn (0.2500, 0.2500, 0.5000)  10 Er 3.26-3.35
Si (0.3588, 0.8588, 0.0000)  8 Er 2.88-2.99, 1 Si 3.09
Si (0.6412, 0.1412, 0.0000)  8 Er 2.88-2.99, 1 Si 3.09
Si (0.1412, 0.3588, 0.0000)  8 Er 2.88-2.99, 1 Si 3.09
Si (0.8588, 0.6412, 0.0000)  8 Er 2.88-2.99, 1 Si 3.09

## Properties
electronic total energy = -5.395 eV per atom
space-group type = I4/mcm (140)

---

The following magnetic moment values (in μB per formula unit) correspond, in order, to the records above: 0.000, 0.000, 0.000, 0.000, 0.000, 0.002.